# CsNa12Tl7

An optimized crystal structure of CsNa12Tl7 (GGA-PBE, the Alexandria database).

Output
The value obtained for the calculated formation energy is -0.042 eV/atom. The uncorrected energy is -34.085 eV per formula unit. The magnetization comes out at 0.00 μB per formula unit.

abc: 9.9821 9.9821 9.9821
angles: 111.85 111.85 111.85
Last column: nearest neighbours and their distance in Å.
Sites, in units of the cell vectors:
Cs: 0.0000 0.0000 0.0000  8 Tl 4.18-4.37, 12 Na 4.36-4.42
Na: 0.0000 0.2671 0.7329  4 Tl 3.23-3.29, 2 Na 3.48
Na: 0.0000 0.7329 0.2671  4 Tl 3.23-3.29, 2 Na 3.48
Na: 0.1385 0.4608 0.4608  4 Tl 3.27-3.33, 1 Na 3.41
Na: 0.2671 0.0000 0.7329  4 Tl 3.23-3.29, 2 Na 3.48
Na: 0.2671 0.7329 0.0000  4 Tl 3.23-3.29, 2 Na 3.48
Na: 0.4608 0.1385 0.4608  4 Tl 3.27-3.33, 1 Na 3.41
Na: 0.4608 0.4608 0.1385  4 Tl 3.27-3.33, 1 Na 3.41
Na: 0.5392 0.5392 0.8615  4 Tl 3.27-3.33, 1 Na 3.41
Na: 0.5392 0.8615 0.5392  4 Tl 3.27-3.33, 1 Na 3.41
Na: 0.7329 0.0000 0.2671  4 Tl 3.23-3.29, 2 Na 3.48
Na: 0.7329 0.2671 0.0000  4 Tl 3.23-3.29, 2 Na 3.48
Na: 0.8615 0.5392 0.5392  4 Tl 3.27-3.33, 1 Na 3.41
Tl: 0.1555 0.1555 0.5135  7 Na 3.23-3.33, 1 Tl 3.31
Tl: 0.1555 0.5135 0.1555  7 Na 3.23-3.33, 1 Tl 3.31
Tl: 0.4865 0.8445 0.8445  7 Na 3.23-3.33, 1 Tl 3.31
Tl: 0.5000 0.5000 0.5000  6 Na 3.33
Tl: 0.5135 0.1555 0.1555  7 Na 3.23-3.33, 1 Tl 3.31
Tl: 0.8445 0.4865 0.8445  7 Na 3.23-3.33, 1 Tl 3.31
Tl: 0.8445 0.8445 0.4865  7 Na 3.23-3.33, 1 Tl 3.31